# Nd2CoPbO6

A relaxed structure of Nd2CoPbO6 (GGA+U, the Open Quantum Materials Database).

a = 5.5932 Å, b = 5.8816 Å, c = 9.7132 Å
α = 90.00°, β = 124.26°, γ = 90.00°
Last column: nearest neighbours and their distance in Å.
Positions (direct):
Nd 0.2273 0.0673 0.2487  5 O 2.33-2.61
Nd 0.2273 0.4327 0.7487  5 O 2.33-2.61
Nd 0.7727 0.5673 0.2513  5 O 2.33-2.61
Nd 0.7727 0.9327 0.7513  5 O 2.33-2.61
Co 0.0000 0.0000 0.5000  6 O 2.09-2.10
Co 0.0000 0.5000 0.0000  6 O 2.09-2.10
Pb 0.5000 0.0000 0.0000  6 O 2.18
Pb 0.5000 0.5000 0.5000  6 O 2.18
O 0.1235 0.1998 0.9384  1 Co 2.10, 1 Pb 2.18
O 0.1235 0.3002 0.4384  1 Co 2.10, 1 Pb 2.18
O 0.2419 0.6910 0.9380  1 Co 2.09, 1 Pb 2.18
O 0.2419 0.8090 0.4380  1 Co 2.09, 1 Pb 2.18
O 0.3650 0.0459 0.7433  1 Co 2.10, 1 Pb 2.18, 1 Nd 2.33
O 0.3650 0.4541 0.2433  1 Co 2.10, 1 Pb 2.18, 1 Nd 2.33
O 0.6350 0.5459 0.7567  1 Co 2.10, 1 Pb 2.18, 1 Nd 2.33
O 0.6350 0.9541 0.2567  1 Co 2.10, 1 Pb 2.18, 1 Nd 2.33
O 0.7581 0.1910 0.5620  1 Co 2.09, 1 Pb 2.18
O 0.7581 0.3090 0.0620  1 Co 2.09, 1 Pb 2.18
O 0.8765 0.6998 0.5616  1 Co 2.10, 1 Pb 2.18
O 0.8765 0.8002 0.0616  1 Co 2.10, 1 Pb 2.18

Summary:
* electronic total energy: -6.95 eV/atom
* space-group type: P2_1/c